Entry 1:
Here is a relaxed structure of TaRh3O from the Alexandria database. Energies are from PBE-GGA.

The calculation puts the energy relative to the elements, uncorrected at 1.54 eV per atom. As for the crystal system: cubic. The calculation puts the magnetization at 2.06 μB per cell. Its energy relative to the lowest polymorph listed for this composition is 1485 meV per atom. The value obtained for the volume is 21.5 Å³ per atom. The density of states at the Fermi level comes out at 4.47 states/eV per cell. The mass density is 7.8 g cm⁻³.

The space group is Pm-3m (No. 221) and the conventional cell measures 4.755, 4.755 and 4.755 Å, with angles of 90.00, 90.00 and 90.00 degrees. The inequivalent atoms are Ta at (0.000, 0.000, 0.000), Rh at (0.000, 0.000, 0.500) and O at (0.500, 0.500, 0.500).

Entry 2:
Here is a relaxed structure of Tl12Se3F5 from the Alexandria database. Energies are from PBE-GGA.

The calculation puts the energy relative to the elements, uncorrected at -0.94 eV per atom. As for the crystal system: cubic. The calculation puts the magnetization at 0.00 μB per cell. The value obtained for the volume is 31.5 Å³ per atom. The density of states at the Fermi level comes out at 19.61 states/eV per cell. The mass density is 7.3 g cm⁻³.

The space group is Ia-3d (No. 230) and the conventional cell measures 17.139, 17.139 and 17.139 Å, with angles of 90.00, 90.00 and 90.00 degrees. The inequivalent atoms are Tl at (0.026, 0.060, 0.650), Se at (0.000, 0.250, 0.125), F at (0.000, 0.000, 0.000) and F at (0.000, 0.250, 0.375).

Entry 3:
Here is a relaxed structure of YSe2Br from the Alexandria database. Energies are from PBE-GGA.

The calculation puts the energy relative to the elements, uncorrected at -0.97 eV per atom. As for the crystal system: tetragonal. The calculation puts the magnetization at 0.00 μB per cell. Its energy relative to the lowest polymorph listed for this composition is 294 meV per atom. The value obtained for the volume is 30.0 Å³ per atom. The density of states at the Fermi level comes out at 2.42 states/eV per cell. The mass density is 4.5 g cm⁻³.

The space group is I-42d (No. 122) and the conventional cell measures 4.862, 4.862 and 20.320 Å, with angles of 90.00, 90.00 and 90.00 degrees. The inequivalent atoms are Y at (0.000, 0.000, 0.000), Se at (0.081, 0.250, 0.125) and Br at (0.000, 0.000, 0.500).

Entry 4:
Here is a relaxed structure of Cs6AgAuO from the Alexandria database. Energies are from PBE-GGA.

The calculation puts the energy relative to the elements, uncorrected at -0.37 eV per atom. As for the crystal system: trigonal. The calculation puts the magnetization at 0.39 μB per cell. The value obtained for the volume is 59.2 Å³ per atom. The density of states at the Fermi level comes out at 12.53 states/eV per cell. The mass density is 3.5 g cm⁻³.

The space group is P-31c (No. 163) and the conventional cell measures 8.7091, 8.7091 and 16.2259 Å, with angles of 90.00, 90.00 and 120.00 degrees. The inequivalent atoms are Cs at (0.0550, 0.3903, 0.1433), Ag at (0.0000, 0.0000, 0.0000), Au at (0.3333, 0.6667, 0.7500) and O at (0.3333, 0.6667, 0.2500).

Entry 5:
Here is a relaxed structure of SrSiTe2 from the Alexandria database. Energies are from PBE-GGA.

The calculation puts the energy relative to the elements, uncorrected at -0.44 eV per atom. As for the crystal system: monoclinic. The calculation puts the magnetization at 0.00 μB per cell. The value obtained for the volume is 29.5 Å³ per atom. The density of states at the Fermi level comes out at 4.28 states/eV per cell. The mass density is 5.2 g cm⁻³.

The space group is C2/m (No. 12) and the conventional cell measures 10.120, 6.030 and 4.261 Å, with angles of 90.00, 114.76 and 90.00 degrees. The inequivalent atoms are Sr at (0.000, 0.000, 0.000), Si at (0.000, 0.500, 0.500) and Te at (0.204, 0.500, 0.203).

Entry 6:
Here is a relaxed structure of BaLa2Ni from the Alexandria database. Energies are from PBE-GGA.

As for the crystal system: orthorhombic. The calculation puts the magnetization at 0.00 μB per cell. Its energy relative to the lowest polymorph listed for this composition is 54 meV per atom. The value obtained for the volume is 34.7 Å³ per atom. The density of states at the Fermi level comes out at 9.78 states/eV per cell. As for the energy of formation: -0.19 eV/f.u. The mass density is 5.7 g cm⁻³.

The space group is Cmmm (No. 65) and the conventional cell measures 5.218, 5.250 and 10.127 Å, with angles of 90.00, 90.00 and 90.00 degrees. The inequivalent atoms are Ba at (0.000, 0.000, 0.000), La at (0.000, 0.500, 0.345) and Ni at (0.000, 0.000, 0.500).

Entry 7:
Here is a relaxed structure of ZrSi from the Alexandria database. Energies are from PBE-GGA.

The calculation puts the energy relative to the elements, uncorrected at -0.05 eV per atom. As for the crystal system: tetragonal. The calculation puts the magnetization at 0.00 μB per cell. The value obtained for the volume is 18.8 Å³ per atom. The density of states at the Fermi level comes out at 5.86 states/eV per cell. The mass density is 5.3 g cm⁻³.

The space group is I4_1/amd (No. 141, origin choice 2) and the conventional cell measures 5.177, 5.177 and 5.613 Å, with angles of 90.00, 90.00 and 90.00 degrees. The inequivalent atoms are Zr at (0.000, 0.250, 0.375) and Si at (0.000, 0.250, 0.875).

Entry 8:
Here is a relaxed structure of RbNbTe2O8 from the Alexandria database. Energies are from PBE-GGA.

The calculation puts the energy relative to the elements, uncorrected at -1.32 eV per atom. As for the crystal system: monoclinic. The calculation puts the magnetization at 0.00 μB per cell. The value obtained for the volume is 17.7 Å³ per atom. The density of states at the Fermi level comes out at 9.29 states/eV per cell. The mass density is 4.4 g cm⁻³.

The space group is C2/m (No. 12) and the conventional cell measures 11.603, 5.656 and 6.771 Å, with angles of 90.00, 107.26 and 90.00 degrees. The inequivalent atoms are Rb at (0.000, 0.000, 0.000), Nb at (0.000, 0.500, 0.500), Te at (0.213, 0.000, 0.645), O at (0.099, 0.500, 0.307), O at (0.104, 0.247, 0.685) and O at (0.182, 0.000, 0.365).

- Which of these has the lowest volume?
  RbNbTe2O8